Computed, not measured: a relaxed structure of CsTlCu2 at the PBE level of DFT.

## Properties
formation enthalpy at 0 K: 0.625 eV/atom
density: 6.74 g cm⁻³
size of the total moment: 0.0000 μB/atom
Fermi-level density of states: 3.52 states/eV/cell
DFT total energy: -35.64 eV for the cell shown

Geometry as CIF:
```
data_CsTlCu2
_chemical_formula_sum 'Cs4 Tl4 Cu8'
_space_group_name_H-M_alt 'F m -3 m'
_space_group_IT_number 225
_space_group_name_Hall '-F 4 2 3'
_cell_length_a 7.706
_cell_length_b 7.706
_cell_length_c 7.706
_cell_angle_alpha 90.00
_cell_angle_beta 90.00
_cell_angle_gamma 90.00
loop_
_atom_site_label
_atom_site_type_symbol
_atom_site_fract_x
_atom_site_fract_y
_atom_site_fract_z
_atom_site_occupancy
Cs1 Cs 0.000 0.000 0.000 1
Tl1 Tl 0.000 0.000 0.500 1
Cu1 Cu 0.250 0.250 0.250 1
```